! TcTe2IO PBEsol relaxed; values from VASP
! Total magnetic moment: 4.5 μB/f.u.
! Theoretical density: 6.833 g/cm3
! Crystal system: tetragonal
! Uncorrected formation energy: 0.765 eV/atom
! E: -4.30 eV/atom
&SYSTEM
  ibrav = 0, nat = 5, ntyp = 4
/
ATOMIC_SPECIES
Tc 98.00 Tc.upf
Te 127.60 Te.upf
I 126.90 I.upf
O 16.00 O.upf
ATOMIC_POSITIONS angstrom
Tc 2.200 2.200 3.113
Te 2.200 0.000 0.000
Te 0.000 2.200 0.000
I 0.000 0.000 3.113
O 0.000 0.000 0.000
CELL_PARAMETERS angstrom
4.401 0.000 0.000
0.000 4.401 0.000
0.000 0.000 6.226